The following is a DFT calculation (GGA-PBE) of CaCl3 after structural relaxation.

Properties
D(E_F) = 2.2 states/eV/cell
total DFT energy (no corrections) = -3.365 eV per atom
crystal system = orthorhombic

Cell lengths 6.8990, 6.8990, 6.8990 Å; angles 147.81, 137.36, 54.42 degrees
Sites, in units of the cell vectors:
Ca  0.0000  0.0000  0.0000
Cl  0.1587  0.6587  0.5000
Cl  0.5000  0.5000  0.0000
Cl  0.8413  0.3413  0.5000